A plane-wave DFT calculation with PBE was carried out for a geometry-optimized BC structure.

The structure in POSCAR format:
```
BC
1.0
-0.691 5.226 3.045
-2.180 -3.437 -4.706
-2.581 -1.671 2.090
B C
6 6
Cartesian
-2.599 1.829 -0.068
-2.871 -0.110 0.048
-1.341 -0.523 -0.372
-4.358 -2.246 -0.165
-2.304 2.763 2.789
-2.435 -0.059 1.930
-3.230 -2.790 -2.305
-3.717 2.209 2.252
-0.983 2.157 1.981
-3.767 0.712 2.559
-5.398 0.089 0.411
-4.266 -0.605 -0.307
```

Output
Excess energy over the best structure of this formula in the dataset = 232 meV per atom
Magnetization = 0.000 μB per atom
ΔH_f (0 K) = 37 kJ per mole of atoms
Mass density = 2.782 g/cm³